The following is a DFT calculation (GGA-PBE) of a relaxed structure of Hf2BeZn2. Values from VASP.

Values from the calculation:
Total moment in μB per cell: 0.000
Density of states at the Fermi level in states/eV per cell: 7.1
Final energy in eV/f.u.: -24.3

```
&SYSTEM
  ibrav = 0, nat = 10, ntyp = 3
/
ATOMIC_SPECIES
Be 9.01 Be.upf
Zn 65.41 Zn.upf
Hf 178.49 Hf.upf
CELL_PARAMETERS angstrom
-0.348 -3.544 -6.006
-4.792 -4.247 2.783
-2.768 2.327 -1.213
ATOMIC_POSITIONS angstrom
Be 0.000 0.000 0.000
Be -2.570 -3.895 -1.611
Zn -4.513 -2.071 0.325
Zn -5.715 -4.755 -2.080
Zn -3.394 -3.392 -4.761
Zn -2.192 -0.709 -2.355
Hf -4.146 -4.777 0.294
Hf -3.452 -5.779 -3.213
Hf -0.993 -3.014 -3.516
Hf -1.688 -2.011 -0.009
```